BaZnCu2: relaxed, PBE.

energy relative to the elements: 0.0 eV per formula unit
Fermi-level density of states: 0.55 states/eV per atom
mass density: 5.31 g/cm3
calculated volume: 206.3 Å³ per cell

Cell: 4.928 4.928 9.182 Å, 74.43 74.43 90.00°
Positions (direct):
Ba 0.750 0.250 0.500
Cu 0.875 0.625 0.750
Cu 0.375 0.625 0.250
Zn 0.500 0.500 0.000
Cu 0.375 0.125 0.250
Cu 0.375 0.625 0.750
Ba 0.000 0.000 0.000
Zn 0.250 0.750 0.500